--- a ---
# VSb3Os

VSb3Os after structural relaxation (GGA-PBE, the Alexandria database).

POSCAR file:
```
VSb3Os
1.0
-1.070 2.837 3.983
-0.983 -4.119 2.670
4.790 -0.211 1.437
Sb V Os
3 1 1
direct
0.000 0.500 0.000
0.500 0.000 0.000
0.000 0.000 0.500
0.000 0.000 0.000
0.500 0.500 0.500
```

- Space group: No. 221

--- b ---
# VSb3Os

VSb3Os after structural relaxation (GGA-PBE, the Alexandria database).

POSCAR file:
```
VSb3Os
1.0
5.150 0.000 0.000
0.000 5.150 0.000
0.000 0.000 5.150
V Sb Os
1 3 1
direct
0.500 0.500 0.500
0.000 0.000 0.500
0.000 0.500 0.000
0.500 0.000 0.000
0.000 0.000 0.000
```

- Space group: No. 221

What should be chosen as the least stable of them? Choose a.

--- a ---
# SbOsW

SbOsW after structural relaxation (GGA-PBE, the Alexandria database).

POSCAR file:
```
SbOsW
1.0
-3.454 -2.381 -1.163
-0.358 -1.466 -4.084
0.466 -4.247 -0.837
W Sb Os
1 1 1
direct
0.500 0.500 0.500
0.000 0.000 0.000
0.750 0.750 0.750
```

- Space group: No. 216

--- b ---
# SbOsW

SbOsW after structural relaxation (GGA-PBE, the Alexandria database).

POSCAR file:
```
SbOsW
1.0
-1.663 1.343 -4.390
-4.626 -1.128 -1.078
2.867 2.385 3.151
W Sb Os
1 1 1
direct
0.658 0.658 0.000
0.333 0.333 0.000
0.009 0.009 0.000
```

- Space group: No. 44

What should be chosen as the least stable of them? Choose b.

--- a ---
# SbOsW

SbOsW after structural relaxation (GGA-PBE, the Alexandria database).

POSCAR file:
```
SbOsW
1.0
6.141 -0.004 0.004
5.397 2.931 0.003
0.744 0.190 2.929
Os Sb W
1 1 1
direct
0.014 0.014 0.986
0.335 0.335 0.665
0.651 0.651 0.349
```

- Space group: No. 107

--- b ---
# SbOsW

SbOsW after structural relaxation (GGA-PBE, the Alexandria database).

POSCAR file:
```
SbOsW
1.0
2.982 0.000 0.000
-1.491 2.582 0.000
0.000 0.000 6.813
Os W Sb
1 1 1
direct
0.000 0.000 0.983
0.333 0.667 0.687
0.667 0.333 0.330
```

- Space group: No. 156

What should be chosen as the least stable of them? Choose b.

--- a ---
# SbOs3W

SbOs3W after structural relaxation (GGA-PBE, the Alexandria database).

POSCAR file:
```
SbOs3W
1.0
4.759 0.000 0.000
0.000 4.759 0.000
0.000 0.000 4.759
W Os Sb
1 3 1
direct
0.000 0.000 0.000
0.000 0.500 0.000
0.000 0.000 0.500
0.500 0.000 0.000
0.500 0.500 0.500
```

- Space group: No. 221

--- b ---
# SbOs3W

SbOs3W after structural relaxation (GGA-PBE, the Alexandria database).

POSCAR file:
```
SbOs3W
1.0
4.720 0.000 0.000
0.000 4.720 0.000
0.000 0.000 4.720
Os W Sb
3 1 1
direct
0.500 0.000 0.000
0.000 0.500 0.000
0.000 0.000 0.500
0.500 0.500 0.500
0.000 0.000 0.000
```

- Space group: No. 221

What should be chosen as the least stable of them? Choose b.

--- a ---
# Y4SbOs

Y4SbOs after structural relaxation (GGA-PBE, the Alexandria database).

POSCAR file:
```
Y4SbOs
1.0
-2.028 -5.690 -1.382
7.898 -0.258 -1.665
-1.424 0.738 7.915
Os Y Sb
2 8 2
direct
0.750 0.000 0.000
0.250 0.000 0.000
0.830 0.651 0.789
0.330 0.789 0.651
0.670 0.211 0.349
0.426 0.718 0.059
0.926 0.059 0.718
0.574 0.282 0.941
0.170 0.349 0.211
0.074 0.941 0.282
0.250 0.372 0.628
0.750 0.628 0.372
```

- Space group: No. 15

--- b ---
# Y4SbOs

Y4SbOs after structural relaxation (GGA-PBE, the Alexandria database).

POSCAR file:
```
Y4SbOs
1.0
0.000 4.249 4.249
4.249 0.000 4.249
4.249 4.249 0.000
Y Sb Os
4 1 1
direct
0.376 0.376 0.376
0.376 0.871 0.376
0.376 0.376 0.871
0.871 0.376 0.376
0.000 0.000 0.000
0.750 0.750 0.750
```

- Space group: No. 216

What should be chosen as the least stable of them? Choose b.

--- a ---
# Zn2SbOs2

Zn2SbOs2 after structural relaxation (GGA-PBE, the Alexandria database).

POSCAR file:
```
Zn2SbOs2
1.0
7.820 0.000 0.000
0.000 7.820 0.000
0.000 0.000 2.698
Zn Os Sb
4 4 2
direct
0.119 0.381 0.000
0.881 0.619 0.000
0.619 0.119 0.000
0.381 0.881 0.000
0.824 0.324 0.500
0.324 0.176 0.500
0.176 0.676 0.500
0.676 0.824 0.500
0.500 0.500 0.000
0.000 0.000 0.000
```

- Space group: No. 127

--- b ---
# Zn2SbOs2

Zn2SbOs2 after structural relaxation (GGA-PBE, the Alexandria database).

POSCAR file:
```
Zn2SbOs2
1.0
3.737 0.000 0.000
0.000 3.737 0.000
1.868 1.868 6.269
Zn Sb Os
2 1 2
direct
0.399 0.399 0.203
0.601 0.601 0.797
0.000 0.000 0.000
0.250 0.750 0.500
0.750 0.250 0.500
```

- Space group: No. 139

What should be chosen as the least stable of them? Choose b.

--- a ---
# ZnSb3Os

ZnSb3Os after structural relaxation (GGA-PBE, the Alexandria database).

POSCAR file:
```
ZnSb3Os
1.0
-2.017 -3.874 -2.477
2.594 -3.192 2.881
-3.797 -0.123 3.283
Sb Zn Os
3 1 1
direct
0.500 0.000 0.000
0.000 0.500 0.000
0.000 0.000 0.500
0.000 0.000 0.000
0.500 0.500 0.500
```

- Space group: No. 221

--- b ---
# ZnSb3Os

ZnSb3Os after structural relaxation (GGA-PBE, the Alexandria database).

POSCAR file:
```
ZnSb3Os
1.0
-2.043 4.590 1.282
-3.710 -0.657 -3.562
-2.990 -2.321 3.543
Sb Zn Os
3 1 1
direct
0.500 0.000 0.000
0.000 0.500 0.000
0.000 0.000 0.500
0.500 0.500 0.500
0.000 0.000 0.000
```

- Space group: No. 221

What should be chosen as the least stable of them? Choose a.

--- a ---
# Sc4Os3

Sc4Os3 after structural relaxation (GGA-PBE, the Alexandria database).

POSCAR file:
```
Sc4Os3
1.0
-9.003 -5.311 10.328
-11.982 -3.614 7.702
10.369 2.591 -10.085
Os Sc
3 4
direct
0.724 0.724 0.000
0.000 0.000 0.000
0.276 0.276 0.000
0.842 0.842 0.000
0.556 0.556 0.000
0.444 0.444 0.000
0.158 0.158 0.000
```

- Space group: No. 139

--- b ---
# Sc4Os3

Sc4Os3 after structural relaxation (GGA-PBE, the Alexandria database).

POSCAR file:
```
Sc4Os3
1.0
-4.967 -0.623 -1.491
1.438 -1.223 4.870
-1.129 5.127 1.621
Os Sc
3 4
direct
0.000 0.500 0.000
0.500 0.000 0.000
0.500 0.500 0.000
0.000 0.000 0.758
0.333 0.667 0.500
0.000 0.000 0.242
0.667 0.333 0.500
```

- Space group: No. 191

What should be chosen as the least stable of them? Choose a.